No. 1
Nd6TaSe12 after structural relaxation, computed with PBE.

Values from the calculation:
The total DFT energy (no corrections) comes out at -111.75 eV/cell. As for the uncorrected formation energy: -1.551 eV/atom.

Unit cell a=8.3116 b=8.3116 c=8.3116 alpha=98.60 beta=98.60 gamma=98.60
Last column: nearest neighbours and their distance in Å.
Sites, in units of the cell vectors:
Nd  0.1356  0.6389  0.3034  7 Se 2.91-3.16
Nd  0.6389  0.3034  0.1356  7 Se 2.91-3.16
Nd  0.3034  0.1356  0.6389  7 Se 2.91-3.16
Se  0.0624  0.9825  0.3118  1 Ta 2.60
Se  0.5783  0.1794  0.4350  4 Nd 2.91-3.05
Se  0.8206  0.5650  0.4217  4 Nd 2.91-3.05
Nd  0.8644  0.3611  0.6966  7 Se 2.91-3.16
Se  0.6882  0.9376  0.0175  1 Ta 2.60
Se  0.3118  0.0624  0.9825  1 Ta 2.60
Se  0.1794  0.4350  0.5783  4 Nd 2.91-3.05
Nd  0.3611  0.6966  0.8644  7 Se 2.91-3.16
Se  0.4217  0.8206  0.5650  4 Nd 2.91-3.05
Se  0.0175  0.6882  0.9376  1 Ta 2.60
Se  0.9825  0.3118  0.0624  1 Ta 2.60
Ta  0.0000  0.0000  0.0000  6 Se 2.60
Se  0.9376  0.0175  0.6882  1 Ta 2.60
Nd  0.6966  0.8644  0.3611  7 Se 2.91-3.16
Se  0.4350  0.5783  0.1794  4 Nd 2.91-3.05
Se  0.5650  0.4217  0.8206  4 Nd 2.91-3.05


No. 2
Ac5Sn2C after structural relaxation, computed with PBE.

Values from the calculation:
The calculation puts the formation energy at -198.7 meV per atom. The total DFT energy (no corrections) comes out at -78.72 eV/cell.

Unit cell a=6.0326 b=6.5143 c=16.5139 alpha=90.00 beta=90.00 gamma=117.58
Last column: nearest neighbours and their distance in Å.
Sites, in units of the cell vectors:
C  0.7511  0.5022  0.7500  4 Ac 2.62-2.63
Ac  0.1002  0.2004  0.3703  1 C 2.63
Ac  0.2513  0.5027  0.7500  2 C 3.02, 2 Sn 3.24
Ac  0.6021  0.2041  0.8700  1 C 2.62
Sn  0.2496  0.4992  0.9461  3 Ac 3.24-3.49, 2 Sn 3.50
Sn  0.2496  0.4992  0.5539  3 Ac 3.24-3.49, 2 Sn 3.50
Ac  0.7487  0.4973  0.2500  2 C 3.02, 2 Sn 3.24
Sn  0.7504  0.5008  0.4461  3 Ac 3.24-3.49, 2 Sn 3.50
Ac  0.3979  0.7959  0.1300  1 C 2.62
Ac  0.8998  0.7996  0.8703  1 C 2.63
Ac  0.6021  0.2041  0.6300  1 C 2.62
Ac  0.1002  0.2004  0.1297  1 C 2.63
Ac  0.3979  0.7959  0.3700  1 C 2.62
Sn  0.7504  0.5008  0.0539  3 Ac 3.24-3.49, 2 Sn 3.50
C  0.2489  0.4978  0.2500  4 Ac 2.62-2.63
Ac  0.8998  0.7996  0.6297  1 C 2.63


No. 3
UCo5Ge3 after structural relaxation, computed with PBE.

Values from the calculation:
The calculation puts the formation energy at -163.6 meV per atom. The total DFT energy (no corrections) comes out at -124.28 eV/cell.

Unit cell a=3.8000 b=6.3325 c=11.2348 alpha=90.00 beta=90.00 gamma=107.46
Last column: nearest neighbours and their distance in Å.
Sites, in units of the cell vectors:
Ge  0.3781  0.7562  0.5550  7 Co 2.26-2.49
Ge  0.6219  0.2438  0.4450  7 Co 2.26-2.49
Co  0.4450  0.8899  0.1389  4 Ge 2.31-2.34, 3 Co 2.50-2.55
Co  0.5550  0.1101  0.6389  4 Ge 2.31-2.34, 3 Co 2.50-2.55
Ge  0.0878  0.1755  0.7500  6 Co 2.31-2.39
Co  0.1911  0.3822  0.9319  4 Ge 2.26-2.49, 1 Co 2.43
Co  0.4450  0.8899  0.3611  4 Ge 2.31-2.34, 3 Co 2.50-2.55
Ge  0.9122  0.8245  0.2500  6 Co 2.31-2.39
Co  0.8089  0.6178  0.4319  4 Ge 2.26-2.49, 1 Co 2.43
U  0.1998  0.3997  0.2500  6 Ge 3.05-3.19, 6 Co 3.09-3.21
Co  0.1911  0.3822  0.5681  4 Ge 2.26-2.49, 1 Co 2.43
Co  0.0000  0.0000  0.0000  6 Co 2.43-2.55, 4 Ge 2.48
Co  0.0000  0.0000  0.5000  6 Co 2.43-2.55, 4 Ge 2.48
U  0.8002  0.6003  0.7500  6 Ge 3.05-3.19, 6 Co 3.09-3.21
Ge  0.3781  0.7562  0.9450  7 Co 2.26-2.49
Ge  0.6219  0.2438  0.0550  7 Co 2.26-2.49
Co  0.5550  0.1101  0.8611  4 Ge 2.31-2.34, 3 Co 2.50-2.55
Co  0.8089  0.6178  0.0681  4 Ge 2.26-2.49, 1 Co 2.43


No. 4
Pr2Ga4Ni3Pd after structural relaxation, computed with PBE.

Values from the calculation:
The calculation puts the formation energy at -609.7 meV per atom. The total DFT energy (no corrections) comes out at -50.30 eV/cell.

Unit cell a=4.2628 b=4.2628 c=9.8604 alpha=90.00 beta=90.00 gamma=90.00
Last column: nearest neighbours and their distance in Å.
Sites, in units of the cell vectors:
Ni  0.5000  0.0000  0.8756  5 Ga 2.39-2.46
Ga  0.0000  0.5000  0.3668  3 Ni 2.39-2.50, 2 Pd 2.50
Pr  0.0000  0.5000  0.7532  8 Ga 3.23-3.24, 6 Ni 3.25-3.28, 2 Pd 3.28
Ni  0.0000  0.5000  0.1244  5 Ga 2.39-2.46
Ga  0.0000  0.0000  0.0000  4 Ni 2.46
Ni  0.0000  0.0000  0.5000  4 Ga 2.50
Ga  0.5000  0.0000  0.6332  3 Ni 2.39-2.50, 2 Pd 2.50
Pr  0.5000  0.0000  0.2468  8 Ga 3.23-3.24, 6 Ni 3.25-3.28, 2 Pd 3.28
Pd  0.5000  0.5000  0.5000  4 Ga 2.50
Ga  0.5000  0.5000  0.0000  4 Ni 2.46


No. 5
KAsS2I after structural relaxation, computed with PBE.

Values from the calculation:
The total DFT energy (no corrections) comes out at -16.88 eV/cell. As for the uncorrected formation energy: -0.265 eV/atom.

Unit cell a=4.8725 b=6.0372 c=4.8725 alpha=90.00 beta=90.00 gamma=90.00
Last column: nearest neighbours and their distance in Å.
Sites, in units of the cell vectors:
S  0.5000  0.0000  0.0000  2 As 2.44
I  0.0000  0.5000  0.0000  2 As 3.02
As  0.0000  0.0000  0.0000  4 S 2.44
K  0.5000  0.5000  0.5000  4 I 3.45
S  0.0000  0.0000  0.5000  2 As 2.44


No. 6
CaLaAl2Co after structural relaxation, computed with PBE.

Values from the calculation:
The calculation puts the formation energy at -198.0 meV per atom. The total DFT energy (no corrections) comes out at -22.51 eV/cell. For the polymorph energy (0 for the lowest one), the calculation gives 30 meV per atom.

Unit cell a=4.7285 b=4.7285 c=5.0002 alpha=90.00 beta=90.00 gamma=90.00
Last column: nearest neighbours and their distance in Å.
Sites, in units of the cell vectors:
Al  0.0000  0.5000  0.0000  2 Co 2.36
La  0.5000  0.5000  0.5000  4 Ca 3.34, 8 Al 3.44
Al  0.5000  0.0000  0.0000  2 Co 2.36
Co  0.0000  0.0000  0.0000  4 Al 2.36, 2 Ca 2.50
Ca  0.0000  0.0000  0.5000  2 Co 2.50


No. 7
InFeAg2 after structural relaxation, computed with PBE.

Values from the calculation:
The calculation puts the formation energy at 251.9 meV per atom. The total DFT energy (no corrections) comes out at -15.90 eV/cell.

Unit cell a=3.1936 b=4.6322 c=4.7474 alpha=90.00 beta=90.00 gamma=90.00
Last column: nearest neighbours and their distance in Å.
Sites, in units of the cell vectors:
Ag  0.0000  0.0000  0.0000  4 Ag 2.81, 4 Fe 2.86
Ag  0.5000  0.5000  0.0000  4 Ag 2.81, 4 In 2.86
Fe  0.5000  0.0000  0.5000  4 In 2.81, 4 Ag 2.86
In  0.0000  0.5000  0.5000  4 Fe 2.81, 4 Ag 2.86


No. 8
RbTlRe3 after structural relaxation, computed with PBE.

Values from the calculation:
The calculation puts the formation energy at 3233.7 meV per atom. The total DFT energy (no corrections) comes out at -24.51 eV/cell. For the polymorph energy (0 for the lowest one), the calculation gives 0 meV per atom.

Unit cell a=5.2798 b=5.2798 c=5.2798 alpha=90.00 beta=90.00 gamma=90.00
Last column: nearest neighbours and their distance in Å.
Sites, in units of the cell vectors:
Re  0.0000  0.0000  0.5000  2 Tl 2.64
Rb  0.5000  0.5000  0.5000  12 Re 3.73
Re  0.5000  0.0000  0.0000  2 Tl 2.64
Tl  0.0000  0.0000  0.0000  6 Re 2.64
Re  0.0000  0.5000  0.0000  2 Tl 2.64